No. 1
! Pm2InNi4As3, relaxed, DFT PBE; values from VASP
&SYSTEM
  ibrav = 0, nat = 10, ntyp = 4
/
ATOMIC_SPECIES
In 114.82 In.upf
Ni 58.69 Ni.upf
Pm 145.00 Pm.upf
As 74.92 As.upf
CELL_PARAMETERS angstrom
4.127 0.000 0.000
0.000 4.127 0.000
0.000 0.000 10.189
ATOMIC_POSITIONS angstrom
In 2.064 2.064 5.095
Ni 0.000 0.000 0.000
Ni 2.064 0.000 6.571
Ni 2.064 2.064 0.000
Ni 0.000 2.064 3.619
Pm 2.064 0.000 2.362
Pm 0.000 2.064 7.827
As 2.064 0.000 8.902
As 0.000 2.064 1.288
As 0.000 0.000 5.095
! E_form = -0.717 eV per atom
! Calculated total energy = -56.484 eV for the cell shown

No. 2
! Pr2InNi3As4, relaxed, DFT PBE; values from VASP
&SYSTEM
  ibrav = 0, nat = 10, ntyp = 4
/
ATOMIC_SPECIES
In 114.82 In.upf
As 74.92 As.upf
Ni 58.69 Ni.upf
Pr 140.91 Pr.upf
CELL_PARAMETERS angstrom
-2.991 -2.960 1.027
2.888 -3.155 -0.684
2.834 0.495 9.681
ATOMIC_POSITIONS angstrom
In 1.366 -2.811 5.012
As 0.372 -1.154 6.892
As -0.052 -3.058 0.171
As 0.000 0.000 0.000
As 2.411 -1.409 2.961
Ni 1.033 -1.039 9.150
Ni 1.750 -1.524 0.702
Ni 1.417 0.247 4.841
Pr 3.629 -1.196 7.123
Pr -0.847 -1.367 2.730
! E_form = -0.632 eV per atom
! Calculated total energy = -54.564 eV for the cell shown

No. 3
! Pr2InNi4As3, relaxed, DFT PBE; values from VASP
&SYSTEM
  ibrav = 0, nat = 10, ntyp = 4
/
ATOMIC_SPECIES
Ni 58.69 Ni.upf
As 74.92 As.upf
Pr 140.91 Pr.upf
In 114.82 In.upf
CELL_PARAMETERS angstrom
4.174 0.000 0.000
0.000 4.174 0.000
0.000 0.000 10.163
ATOMIC_POSITIONS angstrom
Ni 2.087 0.000 6.536
Ni 0.000 2.087 3.628
Ni 0.000 0.000 0.000
Ni 2.087 2.087 0.000
As 0.000 0.000 5.082
As 2.087 0.000 8.889
As 0.000 2.087 1.274
Pr 0.000 2.087 7.795
Pr 2.087 0.000 2.369
In 2.087 2.087 5.082
! E_form = -0.712 eV per atom
! Calculated total energy = -56.488 eV for the cell shown

No. 4
! InNiAs2Pt, relaxed, DFT PBE; values from VASP
&SYSTEM
  ibrav = 0, nat = 5, ntyp = 4
/
ATOMIC_SPECIES
As 74.92 As.upf
Ni 58.69 Ni.upf
In 114.82 In.upf
Pt 195.08 Pt.upf
CELL_PARAMETERS angstrom
5.050 0.000 0.000
0.000 4.665 0.000
0.000 0.000 5.050
ATOMIC_POSITIONS angstrom
As 0.000 0.000 2.525
As 2.525 0.000 0.000
Ni 0.000 2.332 0.000
In 0.000 0.000 0.000
Pt 2.525 2.332 2.525
! E_form = 1.323 eV per atom
! Calculated total energy = -17.246 eV for the cell shown